(1)
Computed, not measured: an optimized crystal structure of In2GeIrCl at the PBE level of DFT.

Lattice parameters (Å, degrees): 5.251 5.251 4.664 90.00 90.00 90.00
Element x y z (fractional)
Cl 0.500 0.500 0.500
Ge 0.000 0.000 0.500
In 0.000 0.500 0.000
In 0.500 0.000 0.000
Ir 0.000 0.000 0.000

Summary:
- Space-group type: P4/mmm (123)
- Formation energy without anion corrections: -0.4666 eV/atom
- Mass density: 6.84 g cm⁻³


(2)
Computed, not measured: an optimized crystal structure of BaCu5S4 at the PBE level of DFT.

Lattice parameters (Å, degrees): 3.817 7.368 7.702 118.58 104.35 90.00
Element x y z (fractional)
Cu 0.500 0.500 0.000
Cu 0.820 0.597 0.640
Cu 0.180 0.403 0.360
Cu 0.180 0.957 0.360
Cu 0.820 0.043 0.640
S 0.000 0.305 0.000
S 0.000 0.695 0.000
S 0.268 0.768 0.536
S 0.732 0.232 0.464
Ba 0.500 0.000 0.000

Summary:
- Space-group type: Immm (71)
- Formation energy without anion corrections: -0.3628 eV/atom
- Mass density: 5.31 g cm⁻³


(3)
Computed, not measured: an optimized crystal structure of SrTbIn at the PBE level of DFT.

Lattice parameters (Å, degrees): 3.891 5.475 5.475 120.00 90.00 90.00
Element x y z (fractional)
In 0.083 0.000 0.000
Tb 0.232 0.667 0.333
Sr 0.684 0.333 0.667

Summary:
- E_form: -143 meV per atom
- Space-group type: P3m1 (156)
- Mass density: 5.94 g cm⁻³
- Energy relative to the lowest polymorph listed for this composition: 0.48 eV/f.u.


(4)
Computed, not measured: an optimized crystal structure of InBiH2 at the PBE level of DFT.

Lattice parameters (Å, degrees): 4.787 4.779 5.697 90.32 88.62 60.07
Element x y z (fractional)
In 0.595 0.027 0.268
Bi 0.267 0.690 0.113
H 0.878 0.383 0.739
H 0.959 0.326 0.619

Summary:
- Space-group type: P1 (1)
- Mass density: 4.79 g cm⁻³
- Energy relative to the lowest polymorph listed for this composition: 0.00 eV/f.u.


(5)
Computed, not measured: an optimized crystal structure of RbGaHg4 at the PBE level of DFT.

Lattice parameters (Å, degrees): 5.578 7.858 9.588 114.19 102.21 90.00
Element x y z (fractional)
Hg 0.436 0.087 0.792
Hg 0.254 0.645 0.290
Hg 0.564 0.913 0.208
Hg 0.000 0.811 0.000
Hg 0.564 0.295 0.208
Hg 0.000 0.189 0.000
Hg 0.436 0.705 0.792
Hg 0.746 0.355 0.710
Rb 0.152 0.215 0.431
Rb 0.848 0.785 0.569
Ga 0.750 0.547 0.093
Ga 0.250 0.453 0.907

Summary:
- E_form: -115 meV per atom
- Space-group type: C2/m (12)
- Mass density: 8.53 g cm⁻³
- Energy relative to the lowest polymorph listed for this composition: 0.00 eV/f.u.


(6)
Computed, not measured: an optimized crystal structure of Ba2MgGa3Au4 at the PBE level of DFT.

Lattice parameters (Å, degrees): 4.691 4.691 10.955 90.00 90.00 90.00
Element x y z (fractional)
Ga 0.500 0.000 0.881
Ga 0.000 0.000 0.500
Ga 0.000 0.500 0.119
Au 0.500 0.500 0.000
Au 0.000 0.500 0.367
Au 0.000 0.000 0.000
Au 0.500 0.000 0.633
Ba 0.500 0.000 0.242
Ba 0.000 0.500 0.758
Mg 0.500 0.500 0.500

Summary:
- E_form: -587 meV per atom
- Space-group type: P-4m2 (115)
- Mass density: 8.93 g cm⁻³


(7)
Computed, not measured: an optimized crystal structure of TbPr2Sm9 at the PBE level of DFT.

Lattice parameters (Å, degrees): 5.139 5.139 15.422 90.00 90.00 90.00
Element x y z (fractional)
Sm 0.500 0.500 0.332
Sm 0.500 0.500 0.000
Sm 0.500 0.000 0.165
Sm 0.500 0.000 0.835
Sm 0.000 0.500 0.165
Sm 0.000 0.500 0.500
Sm 0.500 0.500 0.668
Sm 0.000 0.500 0.835
Sm 0.500 0.000 0.500
Pr 0.000 0.000 0.668
Pr 0.000 0.000 0.332
Tb 0.000 0.000 0.000

Summary:
- E_form: 17 meV per atom
- Space-group type: P4/mmm (123)
- Mass density: 7.31 g cm⁻³
- Energy relative to the lowest polymorph listed for this composition: 0.00 eV/f.u.


(8)
Computed, not measured: an optimized crystal structure of LaTb3Pb2 at the PBE level of DFT.

Lattice parameters (Å, degrees): 4.612 4.612 8.778 90.00 90.00 90.00
Element x y z (fractional)
Tb 0.000 0.500 0.653
Tb 0.000 0.000 0.000
Tb 0.500 0.000 0.347
Pb 0.500 0.000 0.710
Pb 0.000 0.500 0.290
La 0.500 0.500 0.000

Summary:
- E_form: -407 meV per atom
- Space-group type: P-4m2 (115)
- Mass density: 9.16 g cm⁻³
- Energy relative to the lowest polymorph listed for this composition: 0.00 eV/f.u.